1.
An optimized crystal structure of MgAl2Fe2, computed with PBE-GGA.

DFT total energy (eV per atom): -5.319
Polymorph energy (0 for the lowest one) (eV per atom): 0.000
Energy relative to the elements (eV/atom): -0.12
Crystal system: tetragonal
Total magnetic moment (μB per cell): 5.728
SG: P4/mbm

Cell lengths 7.0898, 7.0898, 2.7771 Å; angles 90.00, 90.00, 90.00 degrees
Last column: nearest neighbours and their distance in Å.
Sites, in units of the cell vectors:
Fe1 0.1619 0.6619 0.5000  6 Al 2.49-2.52, 2 Fe 2.78
Fe2 0.6619 0.8381 0.5000  6 Al 2.49-2.52, 2 Fe 2.78
Al1 0.3675 0.8675 0.0000  6 Fe 2.49-2.52, 3 Al 2.66-2.78, 2 Mg 2.77
Fe3 0.8381 0.3381 0.5000  6 Al 2.49-2.52, 2 Fe 2.78
Al2 0.1325 0.3675 0.0000  6 Fe 2.49-2.52, 3 Al 2.66-2.78, 2 Mg 2.77
Mg1 0.5000 0.5000 0.0000  4 Al 2.77, 2 Mg 2.78, 8 Fe 3.00
Al3 0.6325 0.1325 0.0000  6 Fe 2.49-2.52, 3 Al 2.66-2.78, 2 Mg 2.77
Al4 0.8675 0.6325 0.0000  6 Fe 2.49-2.52, 3 Al 2.66-2.78, 2 Mg 2.77
Mg2 0.0000 0.0000 0.0000  4 Al 2.77, 2 Mg 2.78, 8 Fe 3.00
Fe4 0.3381 0.1619 0.5000  6 Al 2.49-2.52, 2 Fe 2.78

***

2.
An optimized crystal structure of MgAl2Fe, computed with PBE-GGA.

DFT total energy (eV per atom): -4.377
Energy relative to the elements (eV/atom): 0.01
Crystal system: tetragonal
Total magnetic moment (μB per cell): 1.874
SG: P4/mmm

Cell lengths 3.9217, 3.9217, 3.9437 Å; angles 90.00, 90.00, 90.00 degrees
Last column: nearest neighbours and their distance in Å.
Sites, in units of the cell vectors:
Al1 0.0000 0.0000 0.0000  4 Al 2.77, 4 Mg 2.78, 4 Fe 2.78
Al2 0.5000 0.5000 0.0000  4 Al 2.77, 4 Fe 2.78, 4 Mg 2.78
Fe1 0.5000 0.0000 0.5000  4 Mg 2.77, 8 Al 2.78
Mg1 0.0000 0.5000 0.5000  4 Fe 2.77, 8 Al 2.78

***

3.
An optimized crystal structure of MgAl2Fe, computed with PBE-GGA.

DFT total energy (eV per atom): -4.374
Energy relative to the elements (eV/atom): 0.01
Crystal system: trigonal
Total magnetic moment (μB per cell): 1.975
SG: R-3m

Cell lengths 8.8802, 8.8802, 8.8802 Å; angles 18.80, 18.80, 18.80 degrees
Last column: nearest neighbours and their distance in Å.
Sites, in units of the cell vectors:
Fe1 0.2500 0.2500 0.2500  6 Al 2.53
Al1 0.5108 0.5108 0.5108  3 Fe 2.53
Mg1 0.7500 0.7500 0.7500  6 Mg 2.90, 6 Al 2.98
Al2 0.9892 0.9892 0.9892  3 Fe 2.53

***

4.
An optimized crystal structure of MgAl3Fe, computed with PBE-GGA.

DFT total energy (eV per atom): -4.368
Polymorph energy (0 for the lowest one) (eV per atom): 0.000
Energy relative to the elements (eV/atom): -0.11
Crystal system: orthorhombic
Total magnetic moment (μB per cell): 2.696
SG: Cmcm

Cell lengths 5.1038, 5.2935, 6.6569 Å; angles 113.43, 90.00, 90.00 degrees
Last column: nearest neighbours and their distance in Å.
Sites, in units of the cell vectors:
Mg1 0.7500 0.5720 0.1439  8 Al 2.91-3.01, 4 Fe 3.07, 2 Mg 3.10
Al1 0.2500 0.8285 0.6570  2 Fe 2.45, 2 Al 2.65
Al2 0.7500 0.1715 0.3430  2 Fe 2.45, 2 Al 2.65
Al3 0.2500 0.3882 0.2832  2 Fe 2.52, 3 Al 2.61-2.68
Fe1 0.0000 0.0000 0.0000  6 Al 2.45-2.52, 2 Fe 2.55
Al4 0.7500 0.6118 0.7168  2 Fe 2.52, 3 Al 2.61-2.68
Mg2 0.2500 0.4280 0.8561  8 Al 2.91-3.01, 4 Fe 3.07, 2 Mg 3.10
Al5 0.7500 0.1050 0.7168  2 Fe 2.52, 3 Al 2.61-2.68
Al6 0.2500 0.8950 0.2832  2 Fe 2.52, 3 Al 2.61-2.68
Fe2 0.5000 0.0000 0.0000  6 Al 2.45-2.52, 2 Fe 2.55

***

5.
An optimized crystal structure of MgAl8Fe4, computed with PBE-GGA.

DFT total energy (eV per atom): -5.316
Energy relative to the elements (eV/atom): -0.29
Crystal system: tetragonal
Total magnetic moment (μB per cell): 5.434
SG: I4/mmm

Cell lengths 5.0687, 6.5672, 6.5672 Å; angles 81.44, 67.30, 67.30 degrees
Last column: nearest neighbours and their distance in Å.
Sites, in units of the cell vectors:
Fe1 0.5000 0.0000 0.5000  8 Al 2.50-2.59, 2 Fe 2.53
Al1 0.5000 0.7760 0.2240  4 Fe 2.50, 6 Al 2.70-2.77
Al2 0.2760 0.2240 0.2240  4 Fe 2.50, 6 Al 2.70-2.77
Fe2 0.5000 0.5000 0.0000  8 Al 2.50-2.59, 2 Fe 2.53
Fe3 0.0000 0.0000 0.5000  8 Al 2.50-2.59, 2 Fe 2.53
Fe4 0.0000 0.5000 0.0000  8 Al 2.50-2.59, 2 Fe 2.53
Al3 0.3323 0.6677 0.6677  4 Fe 2.59, 5 Al 2.70-2.87, 1 Mg 2.85
Mg1 0.0000 0.0000 0.0000  12 Al 2.85-3.18
Al4 0.5000 0.2240 0.7760  4 Fe 2.50, 6 Al 2.70-2.77
Al5 0.0000 0.6677 0.3323  4 Fe 2.59, 5 Al 2.70-2.87, 1 Mg 2.85
Al6 0.0000 0.3323 0.6677  4 Fe 2.59, 5 Al 2.70-2.87, 1 Mg 2.85
Al7 0.7240 0.7760 0.7760  4 Fe 2.50, 6 Al 2.70-2.77
Al8 0.6677 0.3323 0.3323  4 Fe 2.59, 5 Al 2.70-2.87, 1 Mg 2.85

***

6.
An optimized crystal structure of MgAlFe2, computed with PBE-GGA.

DFT total energy (eV per atom): -5.538
Energy relative to the elements (eV/atom): 0.03
Crystal system: cubic
Total magnetic moment (μB per cell): 3.971
SG: F-43m

Cell lengths 4.2476, 4.2476, 4.2476 Å; angles 60.00, 60.00, 60.00 degrees
Last column: nearest neighbours and their distance in Å.
Sites, in units of the cell vectors:
Fe1 0.2500 0.2500 0.2500  4 Fe 2.60, 4 Al 2.60
Fe2 0.0000 0.0000 0.0000  4 Fe 2.60, 4 Mg 2.60
Mg1 0.7500 0.7500 0.7500  4 Al 2.60, 4 Fe 2.60
Al1 0.5000 0.5000 0.5000  4 Mg 2.60, 4 Fe 2.60

***

7.
An optimized crystal structure of MgAl2Fe, computed with PBE-GGA.

DFT total energy (eV per atom): -4.354
Energy relative to the elements (eV/atom): 0.03
Crystal system: monoclinic
Total magnetic moment (μB per cell): 2.218
SG: C2/m

Cell lengths 6.1495, 4.8451, 2.8178 Å; angles 89.89, 62.92, 120.15 degrees
Last column: nearest neighbours and their distance in Å.
Sites, in units of the cell vectors:
Mg1 0.5000 0.5000 0.0000  2 Fe 2.74, 8 Al 2.80, 2 Mg 2.82
Al1 0.5000 0.0000 0.5000  4 Al 2.74-2.82, 4 Mg 2.80, 4 Fe 2.80
Al2 0.0000 0.0000 0.0000  4 Al 2.74-2.82, 4 Fe 2.80, 4 Mg 2.80
Fe1 0.0000 0.5000 0.5000  2 Mg 2.74, 8 Al 2.80, 2 Fe 2.82

***

8.
An optimized crystal structure of Mg2Al2Fe, computed with PBE-GGA.

DFT total energy (eV per atom): -3.669
Energy relative to the elements (eV/atom): 0.16
Crystal system: tetragonal
Total magnetic moment (μB per cell): 3.831
SG: P4/mbm

Cell lengths 6.4350, 6.4350, 4.3842 Å; angles 90.00, 90.00, 90.00 degrees
Last column: nearest neighbours and their distance in Å.
Sites, in units of the cell vectors:
Mg1 0.8296 0.3296 0.5000  6 Al 2.75-3.00
Al1 0.6467 0.1467 0.0000  2 Fe 2.46, 1 Al 2.67, 2 Mg 2.75
Al2 0.8533 0.6467 0.0000  2 Fe 2.46, 1 Al 2.67, 2 Mg 2.75
Al3 0.1467 0.3533 0.0000  2 Fe 2.46, 1 Al 2.67, 2 Mg 2.75
Mg2 0.6704 0.8296 0.5000  6 Al 2.75-3.00
Fe1 0.5000 0.5000 0.0000  4 Al 2.46
Mg3 0.3296 0.1704 0.5000  6 Al 2.75-3.00
Mg4 0.1704 0.6704 0.5000  6 Al 2.75-3.00
Al4 0.3533 0.8533 0.0000  2 Fe 2.46, 1 Al 2.67, 2 Mg 2.75
Fe2 0.0000 0.0000 0.0000  4 Al 2.46

***

9.
An optimized crystal structure of MgAl2Fe2, computed with PBE-GGA.

DFT total energy (eV per atom): -5.097
Polymorph energy (0 for the lowest one) (eV per atom): 0.222
Energy relative to the elements (eV/atom): 0.10
Crystal system: tetragonal
Total magnetic moment (μB per cell): 3.873
SG: I4/mmm

Cell lengths 3.5970, 3.5970, 6.5819 Å; angles 74.14, 74.14, 90.00 degrees
Last column: nearest neighbours and their distance in Å.
Sites, in units of the cell vectors:
Fe1 0.7500 0.2500 0.5000  4 Al 2.48, 4 Fe 2.54
Al1 0.3905 0.3905 0.2190  4 Fe 2.48, 1 Al 2.66
Fe2 0.2500 0.7500 0.5000  4 Al 2.48, 4 Fe 2.54
Al2 0.6095 0.6095 0.7810  4 Fe 2.48, 1 Al 2.66
Mg1 0.0000 0.0000 0.0000  8 Al 2.87

***

10.
An optimized crystal structure of Mg2Al9Fe3, computed with PBE-GGA.

DFT total energy (eV per atom): -4.613
Energy relative to the elements (eV/atom): -0.17
Crystal system: monoclinic
Total magnetic moment (μB per cell): 1.801
SG: C2/c

Cell lengths 7.2848, 7.2848, 10.2845 Å; angles 88.67, 112.62, 119.33 degrees
Last column: nearest neighbours and their distance in Å.
Sites, in units of the cell vectors:
Fe1 0.5000 0.5000 0.5000  8 Al 2.47-2.53
Fe2 0.8544 0.1758 0.5075  8 Al 2.44-2.57
Al1 0.8802 0.1302 0.7500  2 Fe 2.45
Al2 0.6729 0.6868 0.7552  2 Fe 2.46-2.50
Fe3 0.8318 0.6531 0.0075  8 Al 2.44-2.57
Al3 0.1303 0.9809 0.9507  3 Fe 2.47-2.57, 3 Al 2.59-2.66
Al4 0.7866 0.4737 0.4360  3 Fe 2.46-2.51, 3 Al 2.66-2.75
Al5 0.5301 0.1796 0.5493  3 Fe 2.47-2.57, 3 Al 2.59-2.66
Mg1 0.9985 0.4289 0.2489  11 Al 2.88-3.17, 1 Fe 3.12
Al6 0.5684 0.0822 0.2552  2 Fe 2.46-2.50
Al7 0.4316 0.9178 0.7448  2 Fe 2.46-2.50
Mg2 0.3200 0.2505 0.7489  11 Al 2.88-3.17, 1 Fe 3.12
Al8 0.4699 0.8204 0.4507  3 Fe 2.47-2.57, 3 Al 2.59-2.66
Fe4 0.1682 0.3469 0.9925  8 Al 2.44-2.57
Mg3 0.6800 0.7495 0.2511  11 Al 2.88-3.17, 1 Fe 3.12
Al9 0.8697 0.0191 0.0493  3 Fe 2.47-2.57, 3 Al 2.59-2.66
Mg4 0.0015 0.5711 0.7511  11 Al 2.88-3.17, 1 Fe 3.12
Fe5 0.1456 0.8242 0.4925  8 Al 2.44-2.57
Al10 0.8809 0.8530 0.5693  3 Fe 2.44-2.53, 1 Al 2.65
Al11 0.5377 0.3506 0.0640  3 Fe 2.46-2.51, 3 Al 2.66-2.75
Al12 0.4623 0.6494 0.9360  3 Fe 2.46-2.51, 3 Al 2.66-2.75
Al13 0.1191 0.1470 0.4307  3 Fe 2.44-2.53, 1 Al 2.65
Al14 0.7837 0.3116 0.9307  3 Fe 2.44-2.53, 1 Al 2.65
Fe6 0.5000 0.0000 0.0000  8 Al 2.47-2.53
Al15 0.2163 0.6884 0.0693  3 Fe 2.44-2.53, 1 Al 2.65
Al16 0.3271 0.3132 0.2448  2 Fe 2.46-2.50
Al17 0.1198 0.8698 0.2500  2 Fe 2.45
Al18 0.2134 0.5263 0.5640  3 Fe 2.46-2.51, 3 Al 2.66-2.75

***

11.
An optimized crystal structure of Mg3AlFe, computed with PBE-GGA.

DFT total energy (eV per atom): -2.733
Polymorph energy (0 for the lowest one) (eV per atom): 0.000
Energy relative to the elements (eV/atom): 0.66
Crystal system: cubic
Total magnetic moment (μB per cell): 1.508
SG: Pm-3m

Cell lengths 4.8705, 4.8705, 4.8705 Å; angles 90.00, 90.00, 90.00 degrees
Last column: nearest neighbours and their distance in Å.
Sites, in units of the cell vectors:
Mg1 0.5000 0.0000 0.0000  2 Fe 2.44
Al1 0.5000 0.5000 0.5000  12 Mg 3.44
Fe1 0.0000 0.0000 0.0000  6 Mg 2.44
Mg2 0.0000 0.5000 0.0000  2 Fe 2.44
Mg3 0.0000 0.0000 0.5000  2 Fe 2.44

***

12.
An optimized crystal structure of MgAlFe2, computed with PBE-GGA.

DFT total energy (eV per atom): -5.554
Energy relative to the elements (eV/atom): 0.01
Crystal system: monoclinic
Total magnetic moment (μB per cell): 4.090
SG: P2/m

Cell lengths 3.7467, 2.6912, 6.0274 Å; angles 65.18, 90.00, 90.00 degrees
Last column: nearest neighbours and their distance in Å.
Sites, in units of the cell vectors:
Mg1 0.5000 0.2500 0.2500  2 Mg 2.69, 8 Fe 2.73-2.76, 2 Al 2.74
Fe1 0.0000 0.4827 0.5224  3 Fe 2.49-2.69, 4 Al 2.60-2.65, 4 Mg 2.73-2.76
Al1 0.5000 0.7500 0.7500  8 Fe 2.60-2.65, 2 Al 2.69, 2 Mg 2.74
Fe2 0.0000 0.0173 0.9776  3 Fe 2.49-2.69, 4 Al 2.60-2.65, 4 Mg 2.73-2.76

***

Look up the total magnetic moment of the seventh one. 2.218 μB per cell